ScCrBr2 | PBE | optimized geometry

Space group: R3m (160)
Formation energy from raw total energies in meV/atom: -499.2
Offset from the most stable computed form in meV per atom: 0
Final energy in eV/atom: -5.32

a b c (Å): 9.735 9.735 9.735
angles (deg): 20.48 20.48 20.48
Positions (direct):
Sc 0.000 0.000 0.000
Cr 0.743 0.743 0.743
Br 0.269 0.269 0.269
Br 0.464 0.464 0.464